Below is crystalline SrYBO4 at its relaxed geometry, with properties calculated at the PBE level.

Lattice parameters (Å, degrees): 5.087 5.274 6.812 90.00 107.77 90.00
Element x y z (fractional)
Sr1 0.205 0.250 0.426
Sr2 0.795 0.750 0.574
Y1 0.283 0.250 0.960
Y2 0.717 0.750 0.040
B1 0.282 0.750 0.193
B2 0.718 0.250 0.807
O1 0.093 0.750 0.324
O2 0.125 0.750 0.964
O3 0.468 0.524 0.233
O4 0.468 0.976 0.233
O5 0.532 0.024 0.767
O6 0.532 0.476 0.767
O7 0.875 0.250 0.036
O8 0.907 0.250 0.676

Computed properties:
Its space group is No. 11. As for the volume: 12.430 Å³/atom. The calculation puts the energy relative to the elements, uncorrected at -21.12 eV/f.u.